1.
Density functional theory data (PBE) for NbAlAu2 after structural relaxation.

Total magnetization, μB per formula unit: 0.0
Calculated formation energy, eV per formula unit: 0.6
V, Å³/f.u.: 75.3

Cell: 10.1207 10.1207 10.1207 Å, 157.59 157.59 31.90°
Atoms (fractional coordinates):
Nb: 0.0000 0.0000 0.0000
Nb: 0.7500 0.2500 0.5000
Al: 0.2500 0.7500 0.5000
Al: 0.5000 0.5000 0.0000
Au: 0.1320 0.6250 0.0070
Au: 0.3750 0.3820 0.5070
Au: 0.6180 0.1250 0.9930
Au: 0.8750 0.8680 0.4930



2.
Density functional theory data (PBE) for CaPm6Sm2Ho3 after structural relaxation.

Total magnetization, μB per formula unit: 0.0
Calculated formation energy, eV per formula unit: 0.4
V, Å³/f.u.: 404.0

Cell: 6.2945 6.2945 11.9569 Å, 95.00 95.00 120.00°
Atoms (fractional coordinates):
Ca: 0.0000 0.0000 0.0000
Pm: 0.0860 0.4248 0.2553
Pm: 0.2527 0.2527 0.7440
Pm: 0.4248 0.0860 0.2553
Pm: 0.5752 0.9140 0.7447
Pm: 0.7473 0.7473 0.2560
Pm: 0.9140 0.5752 0.7447
Sm: 0.3331 0.6669 0.0000
Sm: 0.6669 0.3331 0.0000
Ho: 0.1661 0.8339 0.5000
Ho: 0.5000 0.5000 0.5000
Ho: 0.8339 0.1661 0.5000



3.
Density functional theory data (PBE) for BaHf2Tl after structural relaxation.

Total magnetization, μB per formula unit: 0.0
Calculated formation energy, eV per formula unit: 2.9
V, Å³/f.u.: 118.0

Cell: 11.5440 11.5440 11.5440 Å, 156.93 156.93 32.86°
Atoms (fractional coordinates):
Ba: 0.0000 0.0000 0.0000
Ba: 0.7500 0.2500 0.5000
Hf: 0.1496 0.6250 0.0246
Hf: 0.3750 0.3996 0.5246
Hf: 0.6004 0.1250 0.9754
Hf: 0.8750 0.8504 0.4754
Tl: 0.2500 0.7500 0.5000
Tl: 0.5000 0.5000 0.0000



4.
Density functional theory data (PBE) for LiP2Cl after structural relaxation.

Total magnetization, μB per formula unit: 0.0
V, Å³/f.u.: 67.0
Energy relative to the elements, uncorrected, eV/atom: 0.428

Cell: 4.9598 4.9598 2.7252 Å, 90.00 90.00 90.00°
Atoms (fractional coordinates):
Li: 0.0000 0.0000 0.0000
P: 0.0000 0.5000 0.5000
P: 0.5000 0.0000 0.5000
Cl: 0.5000 0.5000 0.0000



5.
Density functional theory data (PBE) for ErGa7Pd2 after structural relaxation.

Total magnetization, μB per formula unit: 0.0
Calculated formation energy, eV per formula unit: -2.3
V, Å³/f.u.: 207.4

Cell: 6.8192 6.8192 4.4836 Å, 90.00 90.00 95.81°
Atoms (fractional coordinates):
Er: 0.0000 0.0000 0.0000
Ga: 0.1129 0.3562 0.5000
Ga: 0.3543 0.6457 0.0000
Ga: 0.3562 0.1129 0.5000
Ga: 0.5000 0.5000 0.5000
Ga: 0.6438 0.8871 0.5000
Ga: 0.6457 0.3543 0.0000
Ga: 0.8871 0.6438 0.5000
Pd: 0.2454 0.7546 0.5000
Pd: 0.7546 0.2454 0.5000



6.
Density functional theory data (PBE) for CoTcMo after structural relaxation.

Total magnetization, μB per formula unit: 0.5
Calculated formation energy, eV per formula unit: 0.3
V, Å³/f.u.: 40.9

Cell: 6.1267 6.1267 6.1267 Å, 155.04 155.04 35.59°
Atoms (fractional coordinates):
Co: 0.0000 0.0000 0.0000
Tc: 0.6482 0.6482 0.0000
Mo: 0.3381 0.3381 0.0000



7.
Density functional theory data (PBE) for Cs2LiTl3Cl6 after structural relaxation.

Total magnetization, μB per formula unit: 0.0
V, Å³/f.u.: 421.8
Energy relative to the elements, uncorrected, eV/atom: -1.416

Cell: 8.1624 8.1624 7.8778 Å, 99.98 99.98 120.87°
Atoms (fractional coordinates):
Cs: 0.1693 0.8307 0.0000
Cs: 0.8307 0.1693 0.0000
Li: 0.5000 0.5000 0.0000
Tl: 0.0000 0.0000 0.5000
Tl: 0.3450 0.6550 0.5000
Tl: 0.6550 0.3450 0.5000
Cl: 0.1689 0.4292 0.7819
Cl: 0.2734 0.2734 0.2716
Cl: 0.4292 0.1689 0.7819
Cl: 0.5708 0.8311 0.2181
Cl: 0.7266 0.7266 0.7284
Cl: 0.8311 0.5708 0.2181



8.
Density functional theory data (PBE) for LaWSe after structural relaxation.

Total magnetization, μB per formula unit: 0.0
V, Å³/f.u.: 66.7
Energy relative to the elements, uncorrected, eV/atom: 0.088

Cell: 3.2777 3.2777 7.1722 Å, 90.00 90.00 120.00°
Atoms (fractional coordinates):
La: 0.0000 0.0000 0.0000
W: 0.3333 0.6667 0.6234
Se: 0.6667 0.3333 0.3884



9.
Density functional theory data (PBE) for NaLiNb3 after structural relaxation.

Total magnetization, μB per formula unit: 0.0
Calculated formation energy, eV per formula unit: 10.8
V, Å³/f.u.: 108.3

Cell: 4.7671 4.7671 4.7671 Å, 90.00 90.00 90.00°
Atoms (fractional coordinates):
Na: 0.0000 0.0000 0.0000
Li: 0.5000 0.5000 0.5000
Nb: 0.0000 0.0000 0.5000
Nb: 0.0000 0.5000 0.0000
Nb: 0.5000 0.0000 0.0000



10.
Density functional theory data (PBE) for RbGa2Ir after structural relaxation.

Total magnetization, μB per formula unit: 0.0
Calculated formation energy, eV per formula unit: -0.6
V, Å³/f.u.: 138.1

Cell: 8.3378 8.3378 8.3378 Å, 135.97 135.97 64.03°
Atoms (fractional coordinates):
Rb: 0.3750 0.6250 0.7500
Rb: 0.6250 0.3750 0.2500
Ga: 0.0000 0.0000 0.0000
Ga: 0.0000 0.0000 0.5000
Ga: 0.0000 0.5000 0.0000
Ga: 0.5000 0.0000 0.5000
Ir: 0.1250 0.8750 0.2500
Ir: 0.8750 0.1250 0.7500



11.
Density functional theory data (PBE) for CaReAs2 after structural relaxation.

Total magnetization, μB per formula unit: 0.0
Calculated formation energy, eV per formula unit: -1.0
V, Å³/f.u.: 79.9

Cell: 7.3571 7.3571 7.3571 Å, 154.29 152.42 38.06°
Atoms (fractional coordinates):
Ca: 0.0000 0.0000 0.0000
Re: 0.2449 0.7449 0.5000
As: 0.3794 0.3794 0.0000
As: 0.6686 0.1686 0.5000



12.
Density functional theory data (PBE) for Ba2Mg12Hg7 after structural relaxation.

Total magnetization, μB per formula unit: 0.0
Calculated formation energy, eV per formula unit: -6.0
V, Å³/f.u.: 530.2

Cell: 11.6713 11.6713 4.4947 Å, 90.00 90.00 120.00°
Atoms (fractional coordinates):
Ba: 0.0000 0.0000 0.0000
Ba: 0.3333 0.6667 0.5000
Mg: 0.0442 0.7609 0.5000
Mg: 0.1002 0.3837 0.0000
Mg: 0.2391 0.2833 0.5000
Mg: 0.2835 0.8998 0.0000
Mg: 0.3881 0.2085 0.0000
Mg: 0.5435 0.1135 0.5000
Mg: 0.5700 0.4565 0.5000
Mg: 0.6163 0.7165 0.0000
Mg: 0.7167 0.9558 0.5000
Mg: 0.7915 0.1796 0.0000
Mg: 0.8204 0.6119 0.0000
Mg: 0.8865 0.4300 0.5000
Hg: 0.0702 0.6135 0.0000
Hg: 0.2557 0.0378 0.5000
Hg: 0.3865 0.4567 0.0000
Hg: 0.5433 0.9298 0.0000
Hg: 0.6667 0.3333 0.0000
Hg: 0.7821 0.7443 0.5000
Hg: 0.9622 0.2179 0.5000



Which of these has the highest V?
Ba2Mg12Hg7



Please write out number 6 again, unchanged.
Density functional theory data (PBE) for CoTcMo after structural relaxation.

Total magnetization, μB per formula unit: 0.5
Calculated formation energy, eV per formula unit: 0.3
V, Å³/f.u.: 40.9

Cell: 6.1267 6.1267 6.1267 Å, 155.04 155.04 35.59°
Atoms (fractional coordinates):
Co: 0.0000 0.0000 0.0000
Tc: 0.6482 0.6482 0.0000
Mo: 0.3381 0.3381 0.0000



Which value of total magnetization does entry 7 give?
0.0 μB per formula unit



Repeat the sixth record exactly.
Density functional theory data (PBE) for CoTcMo after structural relaxation.

Total magnetization, μB per formula unit: 0.5
Calculated formation energy, eV per formula unit: 0.3
V, Å³/f.u.: 40.9

Cell: 6.1267 6.1267 6.1267 Å, 155.04 155.04 35.59°
Atoms (fractional coordinates):
Co: 0.0000 0.0000 0.0000
Tc: 0.6482 0.6482 0.0000
Mo: 0.3381 0.3381 0.0000